1.
Cs3Ni2F8, optimized geometry, DFT PBE with a Hubbard U; calculated total energy = -51.6 eV for the cell shown; space-group type = R-3m, No. 166; N(E_F) = 9.53 states/eV/f.u.
1.0
3.2200 1.8590 7.8067
-3.2200 1.8590 7.8067
0.0000 -3.7181 7.8067
Cs Ni F
3 2 8
Cartesian
0.0000 0.0000 0.0000
0.0000 0.0000 4.8091
0.0000 0.0000 18.6108
0.0000 0.0000 9.5784
0.0000 0.0000 13.8416
-1.5205 -0.8779 13.2365
0.0000 -1.7557 10.1835
-1.5205 0.8779 10.1835
0.0000 0.0000 7.7366
0.0000 0.0000 15.6834
1.5205 -0.8779 13.2365
0.0000 1.7557 13.2365
1.5205 0.8779 10.1835

---

2.
CsNiF3, optimized geometry, DFT PBE with a Hubbard U; calculated total energy = -126.7 eV for the cell shown; space-group type = P6_3/mmc, No. 194; N(E_F) = 0.00 states/eV/f.u.
1.0
6.1129 0.0000 0.0000
-3.0565 5.2939 0.0000
0.0000 0.0000 14.7180
Cs Ni F
6 6 18
Cartesian
0.0000 0.0000 3.6795
0.0000 0.0000 11.0385
0.0000 3.5293 1.4037
0.0000 3.5293 5.9552
3.0565 1.7646 8.7627
3.0565 1.7646 13.3142
0.0000 0.0000 0.0000
0.0000 0.0000 7.3590
0.0000 3.5293 9.6263
0.0000 3.5293 12.4506
3.0565 1.7646 2.2673
3.0565 1.7646 5.0917
-1.2956 2.7813 11.0385
0.0000 1.7580 8.5161
0.0000 1.7580 13.5608
-1.5340 4.4149 8.5161
-1.5340 4.4149 13.5608
1.5225 0.8790 1.1572
1.5225 0.8790 6.2018
1.2956 2.7813 11.0385
0.0000 5.0254 11.0385
3.0565 0.2686 3.6795
1.7608 2.5127 3.6795
1.5340 4.4149 8.5161
1.5340 4.4149 13.5608
4.5904 0.8790 1.1572
4.5904 0.8790 6.2018
3.0565 3.5359 1.1572
3.0565 3.5359 6.2018
4.3521 2.5127 3.6795